A) {"formula": "Li2CoP2O7", "functional": "PBEsol", "state": "optimized geometry", "cell": [[4.954, 0.041, 0.039], [-2.267, 6.593, 0.000], [-2.397, -2.794, 7.780]], "species": ["O", "Li", "O", "O", "P", "P", "Li", "O", "O", "O", "O", "O", "O", "Co", "O", "O", "Co", "O", "P", "Li", "O", "P", "Li", "O"], "fractional_positions": [[0.043, 0.837, 0.247], [0.625, 0.875, 0.244], [0.950, 0.490, 0.312], [0.520, 0.234, 0.571], [0.852, 0.259, 0.612], [0.148, 0.741, 0.388], [0.110, 0.328, 0.996], [0.782, 0.109, 0.142], [0.218, 0.891, 0.858], [0.312, 0.636, 0.011], [0.957, 0.163, 0.753], [0.384, 0.266, 0.177], [0.092, 0.834, 0.546], [0.801, 0.833, 0.661], [0.908, 0.166, 0.454], [0.688, 0.364, 0.989], [0.199, 0.167, 0.339], [0.616, 0.734, 0.823], [0.682, 0.294, 0.145], [0.375, 0.125, 0.756], [0.480, 0.766, 0.429], [0.318, 0.706, 0.855], [0.890, 0.672, 0.004], [0.050, 0.510, 0.688]], "dos_at_fermi_per_ev_cell": 2.47}

B) {"formula": "Li2CoP2O7", "functional": "PBEsol", "state": "optimized geometry", "cell": [[4.933, 0.000, 0.000], [0.000, 7.544, 0.000], [0.000, 0.000, 7.544]], "species": ["Li", "Li", "O", "O", "O", "O", "Li", "P", "O", "O", "Co", "O", "Co", "O", "P", "P", "Li", "O", "O", "O", "O", "O", "O", "P"], "fractional_positions": [[0.541, 0.712, 0.212], [0.459, 0.212, 0.288], [0.753, 0.815, 0.918], [0.247, 0.685, 0.418], [0.247, 0.918, 0.185], [0.753, 0.185, 0.082], [0.541, 0.288, 0.788], [0.898, 0.356, 0.144], [0.753, 0.582, 0.685], [0.800, 0.500, 0.000], [0.000, 0.000, 0.000], [0.201, 0.345, 0.155], [0.000, 0.500, 0.500], [0.201, 0.655, 0.845], [0.898, 0.644, 0.856], [0.102, 0.144, 0.644], [0.459, 0.788, 0.712], [0.247, 0.315, 0.582], [0.799, 0.845, 0.345], [0.799, 0.155, 0.655], [0.753, 0.418, 0.315], [0.200, 0.000, 0.500], [0.247, 0.082, 0.815], [0.102, 0.856, 0.356]]}

C) {"formula": "Li2CoP2O7", "functional": "PBEsol", "state": "optimized geometry", "cell": [[7.204, 0.000, 0.000], [0.000, 5.990, 0.000], [-3.602, -2.995, 6.495]], "species": ["Li", "P", "O", "O", "O", "P", "Co", "Li", "O", "Li", "O", "P", "O", "O", "O", "O", "O", "Li", "O", "P", "O", "O", "O", "Co"], "fractional_positions": [[0.776, 0.276, 0.053], [0.810, 0.357, 0.714], [0.370, 0.057, 0.114], [0.719, 0.931, 0.287], [0.932, 0.144, 0.713], [0.190, 0.643, 0.286], [0.000, 0.000, 0.500], [0.776, 0.776, 0.053], [0.068, 0.431, 0.287], [0.224, 0.224, 0.947], [0.756, 0.443, 0.886], [0.404, 0.857, 0.714], [0.244, 0.557, 0.114], [0.932, 0.569, 0.713], [0.630, 0.943, 0.886], [0.410, 0.750, 0.500], [0.281, 0.069, 0.713], [0.224, 0.724, 0.947], [0.281, 0.644, 0.713], [0.596, 0.143, 0.286], [0.590, 0.250, 0.500], [0.719, 0.356, 0.287], [0.068, 0.856, 0.287], [0.000, 0.500, 0.500]], "dos_at_fermi_per_ev_cell": 6.26}

Going by the computed energies, the most stable comes first: C), A), B).

A) {"formula": "Li2CoP2O7", "functional": "PBEsol", "state": "optimized geometry", "cell": [[-0.154, 2.048, 4.258], [-1.030, -4.887, -0.311], [12.252, -0.799, 0.828]], "species": ["O", "O", "O", "P", "Li", "Co", "O", "Co", "O", "O", "O", "Li", "O", "P", "Li", "P", "O", "P", "O", "O", "O", "Li", "O", "O"], "fractional_positions": [[0.340, 0.656, 0.653], [0.695, 0.367, 0.358], [0.890, 0.805, 0.576], [0.681, 0.910, 0.642], [0.315, 0.240, 0.611], [0.014, 0.510, 0.499], [0.915, 0.805, 0.076], [0.496, 0.510, 0.999], [0.194, 0.234, 0.460], [0.458, 0.821, 0.902], [0.040, 0.234, 0.960], [0.597, 0.671, 0.291], [0.363, 0.821, 0.402], [0.362, 0.112, 0.379], [0.074, 0.671, 0.791], [0.229, 0.910, 0.142], [0.317, 0.656, 0.153], [0.749, 0.112, 0.879], [0.879, 0.013, 0.764], [0.134, 0.013, 0.264], [0.672, 0.367, 0.858], [0.925, 0.240, 0.111], [0.507, 0.201, 0.112], [0.695, 0.201, 0.612]], "dos_at_fermi_per_ev_cell": 11.50}

B) {"formula": "Li2CoP2O7", "functional": "PBEsol", "state": "optimized geometry", "cell": [[4.944, 0.000, 0.000], [-2.472, 8.835, -0.534], [0.000, -5.018, 7.182]], "species": ["O", "O", "O", "Co", "Co", "O", "O", "P", "Li", "O", "O", "O", "P", "O", "O", "O", "O", "Li", "O", "P", "Li", "Li", "O", "P"], "fractional_positions": [[0.478, 0.000, 0.750], [0.047, 0.801, 0.242], [0.329, 0.209, 0.550], [0.000, 0.000, 0.500], [0.000, 0.000, 0.000], [0.880, 0.209, 0.050], [0.246, 0.199, 0.258], [0.464, 0.205, 0.389], [0.043, 0.378, 0.326], [0.249, 0.641, 0.534], [0.751, 0.359, 0.466], [0.120, 0.791, 0.950], [0.741, 0.205, 0.889], [0.392, 0.641, 0.034], [0.754, 0.801, 0.742], [0.671, 0.791, 0.450], [0.522, 0.000, 0.250], [0.957, 0.622, 0.674], [0.953, 0.199, 0.758], [0.259, 0.795, 0.111], [0.335, 0.378, 0.826], [0.665, 0.622, 0.174], [0.608, 0.359, 0.966], [0.536, 0.795, 0.611]], "dos_at_fermi_per_ev_cell": 4.32}

C) {"formula": "Li2CoP2O7", "functional": "PBEsol", "state": "optimized geometry", "cell": [[-4.528, 1.258, -1.806], [0.049, -6.491, -4.644], [-5.701, -5.020, 10.799]], "species": ["P", "O", "O", "Li", "O", "O", "P", "O", "O", "O", "O", "O", "O", "O", "P", "P", "O", "O", "P", "Co", "O", "O", "O", "O", "O", "P", "Co", "O", "Co", "P", "O", "O", "O", "O", "O", "Co", "Li", "Li", "Li", "Li", "O", "P", "Li", "O", "Li", "O", "O", "Li"], "fractional_positions": [[0.195, 0.997, 0.188], [0.600, 0.490, 0.716], [0.711, 0.818, 0.811], [0.328, 0.247, 0.827], [0.100, 0.010, 0.784], [0.381, 0.811, 0.482], [0.805, 0.003, 0.812], [0.771, 0.085, 0.932], [0.691, 0.308, 0.085], [0.333, 0.620, 0.094], [0.400, 0.510, 0.284], [0.119, 0.311, 0.982], [0.833, 0.880, 0.406], [0.191, 0.192, 0.415], [0.318, 0.215, 0.521], [0.818, 0.285, 0.979], [0.667, 0.380, 0.906], [0.729, 0.585, 0.432], [0.182, 0.715, 0.021], [0.312, 0.387, 0.115], [0.229, 0.915, 0.068], [0.128, 0.400, 0.750], [0.167, 0.120, 0.594], [0.900, 0.990, 0.216], [0.309, 0.692, 0.915], [0.305, 0.497, 0.688], [0.812, 0.113, 0.385], [0.619, 0.189, 0.518], [0.188, 0.887, 0.615], [0.682, 0.785, 0.479], [0.372, 0.900, 0.250], [0.628, 0.100, 0.750], [0.809, 0.808, 0.585], [0.289, 0.182, 0.189], [0.872, 0.600, 0.250], [0.688, 0.613, 0.885], [0.828, 0.253, 0.673], [0.672, 0.753, 0.173], [0.318, 0.831, 0.814], [0.172, 0.747, 0.327], [0.211, 0.682, 0.689], [0.695, 0.503, 0.312], [0.682, 0.169, 0.186], [0.271, 0.415, 0.568], [0.818, 0.669, 0.686], [0.881, 0.689, 0.018], [0.789, 0.318, 0.311], [0.182, 0.331, 0.314]], "dos_at_fermi_per_ev_cell": 7.23}

Going by the computed energies, the most stable comes first: B), C), A).